1.
Sr2TlSiIr: relaxed, GGA-PBE.

The structure belongs to space group P4/mmm (No. 123); the cell edges are 5.8911, 5.8911 and 4.5963 Å and the angles 90.00°, 90.00° and 90.00°. Symmetry generates all atoms from Sr at (0.0000, 0.5000, 0.0000), Tl at (0.0000, 0.0000, 0.5000), Si at (0.5000, 0.5000, 0.5000) and Ir at (0.5000, 0.5000, 0.0000).

The calculation puts the density of states at the Fermi level at 3.65 states/eV/f.u.

***

2.
SrSi2IrW: relaxed, GGA-PBE.

The structure belongs to space group P4/mmm (No. 123); the cell edges are 4.9606, 4.9606 and 4.8717 Å and the angles 90.00°, 90.00° and 90.00°. Symmetry generates all atoms from Sr at (0.0000, 0.0000, 0.0000), Si at (0.0000, 0.5000, 0.0000), Ir at (0.5000, 0.5000, 0.5000) and W at (0.0000, 0.0000, 0.5000).

The calculation puts the density of states at the Fermi level at 6.71 states/eV/f.u.

***

| no. | calculated volume (Å³/f.u.) | E_tot (eV/atom) |
| --- | --- | --- |
| 1 | 160 | -4.311 |
| 2 | 120 | -3.737 |